A plane-wave DFT calculation with PBE was carried out for an optimized crystal structure of Nd4Sm2Dy.

Cell: 7.067 7.055 10.501 Å, 90.00 90.00 107.45°
Positions (direct):
Nd (0.268, 0.310, 0.283)
Nd (0.728, 0.190, 0.212)
Nd (0.272, 0.810, 0.788)
Nd (0.732, 0.690, 0.717)
Nd (0.731, 0.689, 0.284)
Nd (0.730, 0.191, 0.787)
Nd (0.270, 0.809, 0.213)
Nd (0.269, 0.311, 0.716)
Sm (0.000, 0.000, 0.000)
Sm (0.000, 0.000, 0.500)
Sm (0.000, 0.500, 0.500)
Sm (0.500, 0.000, 0.500)
Dy (0.500, 0.500, 0.000)
Dy (0.000, 0.500, 0.000)

Properties
Excess energy over the best structure of this formula in the dataset, eV per atom: 0.000
DOS(E_F), states/eV/atom: 1.298
Energy of formation, kJ/mol of formula units: 121
Calculated total energy, eV for the cell shown: -63.7
Crystal system: triclinic